# 1
VASP calculation (PBE-GGA) on an optimized crystal structure of HgBi2Pd9.

## Properties
energy relative to the elements: -0.235 eV per atom
crystal system: tetragonal

Cell lengths 4.110, 4.110, 12.318 Å; angles 90.00, 90.00, 90.00 degrees
Atoms (fractional coordinates):
1 Pd 0.000 0.500 0.835
2 Hg 0.000 0.000 0.000
3 Pd 0.500 0.000 0.500
4 Pd 0.000 0.500 0.165
5 Pd 0.500 0.000 0.835
6 Pd 0.500 0.000 0.165
7 Bi 0.000 0.000 0.325
8 Pd 0.000 0.500 0.500
9 Bi 0.000 0.000 0.675
10 Pd 0.500 0.500 0.663
11 Pd 0.500 0.500 0.000
12 Pd 0.500 0.500 0.337



# 2
VASP calculation (PBE-GGA) on an optimized crystal structure of HgAu2Cl.

## Properties
relative energy among the computed polymorphs: 114.8 meV/atom
raw formation energy: 81 meV per atom
crystal system: orthorhombic

Cell lengths 5.776, 5.776, 5.776 Å; angles 149.39, 115.54, 73.03 degrees
Atoms (fractional coordinates):
1 Au 0.497 0.497 0.000
2 Au 0.003 0.003 0.000
3 Cl 0.250 0.750 0.500
4 Hg 0.750 0.250 0.500



# 3
VASP calculation (PBE-GGA) on an optimized crystal structure of YAu2Cl.

## Properties
raw formation energy: -559 meV per atom
crystal system: cubic

Cell lengths 5.019, 5.019, 5.019 Å; angles 60.00, 60.00, 60.00 degrees
Atoms (fractional coordinates):
1 Y 0.500 0.500 0.500
2 Au 0.250 0.250 0.250
3 Au 0.750 0.750 0.750
4 Cl 0.000 0.000 0.000



# 4
VASP calculation (PBE-GGA) on an optimized crystal structure of CrIr2Pb.

## Properties
energy relative to the elements: 0.249 eV per atom
crystal system: tetragonal

Cell lengths 3.012, 3.012, 7.485 Å; angles 90.00, 90.00, 90.00 degrees
Atoms (fractional coordinates):
1 Pb 0.500 0.500 0.250
2 Ir 0.000 0.000 0.551
3 Ir 0.000 0.000 0.949
4 Cr 0.500 0.500 0.750



# 5
VASP calculation (PBE-GGA) on an optimized crystal structure of PtSe2Cl.

## Properties
relative energy among the computed polymorphs: 21.4 meV/atom
raw formation energy: -324 meV per atom
crystal system: monoclinic

Cell lengths 3.872, 3.872, 7.056 Å; angles 86.27, 86.27, 58.42 degrees
Atoms (fractional coordinates):
1 Pt 0.750 0.750 0.750
2 Cl 0.250 0.250 0.250
3 Se 0.426 0.426 0.570
4 Se 0.074 0.074 0.930



# 6
VASP calculation (PBE-GGA) on an optimized crystal structure of SmPaReTc.

## Properties
energy relative to the elements: 0.107 eV per atom
crystal system: cubic

Cell lengths 4.900, 4.900, 4.900 Å; angles 60.00, 60.00, 60.00 degrees
Atoms (fractional coordinates):
1 Pa 0.250 0.250 0.250
2 Sm 0.750 0.750 0.750
3 Re 0.000 0.000 0.000
4 Tc 0.500 0.500 0.500



# 7
VASP calculation (PBE-GGA) on an optimized crystal structure of CaScAg2Pt.

## Properties
energy relative to the elements: 1.047 eV per atom
crystal system: tetragonal

Cell lengths 4.921, 5.677, 4.921 Å; angles 90.00, 90.00, 90.00 degrees
Atoms (fractional coordinates):
1 Sc 0.000 0.000 0.000
2 Ag 0.500 0.000 0.000
3 Ca 0.000 0.500 0.000
4 Ag 0.000 0.000 0.500
5 Pt 0.500 0.500 0.500



# 8
VASP calculation (PBE-GGA) on an optimized crystal structure of CeEr4Tm.

## Properties
relative energy among the computed polymorphs: 259.8 meV/atom
energy relative to the elements: 0.282 eV per atom
crystal system: orthorhombic

Cell lengths 6.569, 11.379, 8.254 Å; angles 133.57, 113.45, 90.00 degrees
Atoms (fractional coordinates):
1 Er 0.668 0.667 0.835
2 Tm 0.000 0.000 0.500
3 Ce 0.500 0.500 0.000
4 Er 0.833 0.333 0.165
5 Er 0.165 0.164 0.330
6 Er 0.165 0.666 0.330
7 Er 0.835 0.334 0.670
8 Tm 0.500 0.000 0.500
9 Er 0.332 0.333 0.165
10 Er 0.167 0.667 0.835
11 Er 0.835 0.836 0.670
12 Ce 0.500 0.000 0.000



# 9
VASP calculation (PBE-GGA) on an optimized crystal structure of Cd7Ga3Hg.

## Properties
energy relative to the elements: 0.092 eV per atom
crystal system: monoclinic

Cell lengths 5.670, 7.421, 7.421 Å; angles 89.73, 113.06, 113.06 degrees
Atoms (fractional coordinates):
1 Cd 0.204 0.172 0.172
2 Hg 0.500 0.500 0.500
3 Cd 0.000 0.500 0.500
4 Cd 0.796 0.828 0.828
5 Cd 0.679 0.405 0.947
6 Ga 0.500 0.000 0.000
7 Cd 0.679 0.947 0.405
8 Cd 0.321 0.595 0.053
9 Ga 0.000 0.766 0.234
10 Cd 0.321 0.053 0.595
11 Ga 0.000 0.234 0.766



# 10
VASP calculation (PBE-GGA) on an optimized crystal structure of NaGa2C.

## Properties
energy relative to the elements: 0.611 eV per atom
crystal system: tetragonal

Cell lengths 6.418, 6.418, 5.978 Å; angles 57.53, 57.53, 90.00 degrees
Atoms (fractional coordinates):
1 Ga 0.496 0.125 0.250
2 Ga 0.375 0.504 0.750
3 Na 0.750 0.250 0.500
4 Ga 0.254 0.625 0.250
5 Na 0.000 0.000 0.000
6 Ga 0.875 0.746 0.750
7 C 0.500 0.500 0.000
8 C 0.250 0.750 0.500



# 11
VASP calculation (PBE-GGA) on an optimized crystal structure of NaAg5F8.

## Properties
raw formation energy: -1281 meV per atom
crystal system: tetragonal

Cell lengths 6.392, 6.392, 6.392 Å; angles 108.44, 108.44, 111.56 degrees
Atoms (fractional coordinates):
1 Na 0.250 0.750 0.500
2 Ag 0.375 0.960 0.080
3 Ag 0.706 0.625 0.585
4 Ag 0.040 0.120 0.415
5 F 0.614 0.879 0.352
6 Ag 0.500 0.500 0.000
7 F 0.527 0.262 0.648
8 F 0.030 0.778 0.156
9 F 0.222 0.378 0.252
10 Ag 0.880 0.294 0.920
11 F 0.126 0.970 0.748
12 F 0.121 0.473 0.735
13 F 0.738 0.386 0.265
14 F 0.622 0.874 0.844



# 12
VASP calculation (PBE-GGA) on an optimized crystal structure of HgRuW2.

## Properties
relative energy among the computed polymorphs: 576.7 meV/atom
energy relative to the elements: 0.989 eV per atom
crystal system: tetragonal

Cell lengths 7.403, 7.403, 5.885 Å; angles 51.03, 51.03, 90.00 degrees
Atoms (fractional coordinates):
1 W 0.172 0.625 0.250
2 Ru 0.250 0.750 0.500
3 W 0.875 0.828 0.750
4 Hg 0.000 0.000 0.000
5 W 0.578 0.125 0.250
6 Ru 0.500 0.500 0.000
7 W 0.375 0.422 0.750
8 Hg 0.750 0.250 0.500



The records above give, respectively, E values of -4.80; -2.09; -4.27; -7.51; -4.04; -9.15; -2.97; -4.49; -1.34; -3.54; -3.46; -7.88 eV/atom.